VASP calculation (GGA-PBE) on crystalline Y2HRh at its relaxed geometry.

Output
The calculation puts the magnetization at 0.000 μB/cell. The value obtained for the density is 6.126 g cm⁻³. The value obtained for the total energy is -6.228 eV/atom. The calculation puts the density of states at the Fermi level at 2.8 states/eV/f.u. As for the space group: No. 225.

a b c (Å): 4.7623 4.7623 4.7623
angles (deg): 60.00 60.00 60.00
Fractional positions:
Y: 0.2500 0.2500 0.2500
Y: 0.7500 0.7500 0.7500
H: 0.0000 0.0000 0.0000
Rh: 0.5000 0.5000 0.5000

***

VASP calculation (GGA-PBE) on crystalline YH6Rh at its relaxed geometry.

Output
The calculation puts the magnetization at 0.000 μB/cell. The value obtained for the density is 5.056 g cm⁻³. The value obtained for the total energy is -4.630 eV/atom. As for the space group: No. 166.

a b c (Å): 4.6115 4.6115 4.6115
angles (deg): 57.27 57.27 57.27
Fractional positions:
Y: 0.0000 0.0000 0.0000
H: 0.0625 0.5994 0.5994
H: 0.4006 0.4006 0.9375
H: 0.4006 0.9375 0.4006
H: 0.5994 0.0625 0.5994
H: 0.5994 0.5994 0.0625
H: 0.9375 0.4006 0.4006
Rh: 0.5000 0.5000 0.5000